one.
Density functional theory data (PBE) for a relaxed LaYGa4 crystal.

Computed properties:
V (A^3/atom): 20.99

abc: 5.627 5.627 5.627
angles: 60.00 60.00 60.00
Fractional positions:
Ga  0.625  0.625  0.125
Ga  0.125  0.625  0.625
Ga  0.625  0.625  0.625
Ga  0.625  0.125  0.625
Y  0.250  0.250  0.250
La  0.000  0.000  0.000

***

two.
Density functional theory data (PBE) for a relaxed LaYGa4 crystal.

Computed properties:
V (A^3/atom): 22.65

abc: 4.274 4.274 8.032
angles: 105.43 105.43 90.00
Fractional positions:
Y  0.250  0.750  0.500
Ga  0.415  0.415  0.830
Ga  0.585  0.585  0.170
Ga  0.668  0.168  0.337
Ga  0.832  0.332  0.663
La  0.000  0.000  0.000

***

What should be chosen as the least stable of them? Choose one.

***

one.
Density functional theory data (PBE) for a relaxed LaYGa crystal.

Computed properties:
V (A^3/atom): 29.84

abc: 4.467 6.388 8.492
angles: 125.18 90.00 110.47
Fractional positions:
Ga  0.870  0.740  0.826
Ga  0.130  0.260  0.174
La  0.589  0.178  0.867
La  0.411  0.822  0.133
Y  0.175  0.351  0.574
Y  0.825  0.649  0.426

***

two.
Density functional theory data (PBE) for a relaxed LaYGa crystal.

Computed properties:
V (A^3/atom): 31.29

abc: 5.101 5.101 5.101
angles: 60.00 60.00 60.00
Fractional positions:
Ga  0.250  0.250  0.250
La  0.500  0.500  0.500
Y  0.000  0.000  0.000

***

What should be chosen as the least stable of them? Choose two.

***

one.
Density functional theory data (PBE) for a relaxed LaZn3Ga crystal.

Computed properties:
V (A^3/atom): 22.61

abc: 4.835 4.835 4.835
angles: 90.00 90.00 90.00
Fractional positions:
La  0.500  0.500  0.500
Zn  0.500  0.000  0.000
Zn  0.000  0.000  0.500
Zn  0.000  0.500  0.000
Ga  0.000  0.000  0.000

***

two.
Density functional theory data (PBE) for a relaxed LaZn3Ga crystal.

Computed properties:
V (A^3/atom): 26.05

abc: 4.699 4.699 12.256
angles: 101.05 101.05 90.00
Fractional positions:
Ga  0.593  0.093  0.186
Ga  0.907  0.407  0.814
La  0.250  0.750  0.500
La  0.000  0.000  0.000
Zn  0.652  0.652  0.303
Zn  0.623  0.874  0.748
Zn  0.126  0.377  0.252
Zn  0.124  0.874  0.748
Zn  0.348  0.348  0.697
Zn  0.126  0.876  0.252

***

three.
Density functional theory data (PBE) for a relaxed LaZn3Ga crystal.

Computed properties:
V (A^3/atom): 19.87

abc: 4.355 4.355 6.055
angles: 69.24 69.24 90.08
Fractional positions:
Zn  0.154  0.454  0.401
Zn  0.781  0.584  0.144
Zn  0.651  0.957  0.401
La  0.404  0.208  0.898
Ga  0.018  0.821  0.669

***

four.
Density functional theory data (PBE) for a relaxed LaZn3Ga crystal.

Computed properties:
V (A^3/atom): 37.90

abc: 5.744 5.744 5.744
angles: 90.00 90.00 90.00
Fractional positions:
Zn  0.500  0.000  0.000
Zn  0.000  0.500  0.000
Zn  0.000  0.000  0.500
La  0.000  0.000  0.000
Ga  0.500  0.500  0.500

***

What should be chosen as the least stable of them? Choose four.

***

one.
Density functional theory data (PBE) for a relaxed La2Zn2Ga crystal.

Computed properties:
V (A^3/atom): 27.07

abc: 8.718 8.718 3.561
angles: 90.00 90.00 90.00
Fractional positions:
La  0.817  0.683  0.000
La  0.317  0.817  0.000
La  0.683  0.183  0.000
La  0.183  0.317  0.000
Zn  0.390  0.110  0.500
Zn  0.890  0.390  0.500
Zn  0.610  0.890  0.500
Zn  0.110  0.610  0.500
Ga  0.500  0.500  0.000
Ga  0.000  0.000  0.000

***

two.
Density functional theory data (PBE) for a relaxed La2Zn2Ga crystal.

Computed properties:
V (A^3/atom): 29.43

abc: 6.203 6.203 5.819
angles: 57.80 57.80 90.00
Fractional positions:
Ga  0.000  0.000  0.000
La  0.250  0.750  0.500
La  0.750  0.250  0.500
Zn  0.656  0.656  0.687
Zn  0.344  0.344  0.313

***

three.
Density functional theory data (PBE) for a relaxed La2Zn2Ga crystal.

Computed properties:
V (A^3/atom): 24.23

abc: 7.096 7.096 4.812
angles: 90.00 90.00 90.00
Fractional positions:
La  0.176  0.676  0.500
La  0.324  0.176  0.500
La  0.676  0.824  0.500
La  0.824  0.324  0.500
Zn  0.371  0.871  0.000
Zn  0.871  0.629  0.000
Zn  0.629  0.129  0.000
Zn  0.129  0.371  0.000
Ga  0.000  0.000  0.000
Ga  0.500  0.500  0.000

***

What should be chosen as the least stable of them? Choose two.